SrTl3 | SCAN | single point on PBEsol structure

Unit cell a=3.696 b=5.350 c=6.122 alpha=90.00 beta=97.67 gamma=90.00
Space group P2/m (No. 10)
Inequivalent atoms, fractional coordinates:
Sr  0.000  0.000  0.000 [1 per cell]
Tl  0.304  0.500  0.735 [2 per cell]
Tl  0.500  0.000  0.500 [1 per cell]

Its formation enthalpy at 0 K is -0.287 eV/atom. For the volume, the calculation gives 120.0 Å³/cell. The value obtained for the raw total energy is -60.1242 eV per atom.